TcBN2 after structural relaxation, computed with PBE-GGA.

**E**: -8.496 eV/atom

Unit cell a=5.5963 b=5.5963 c=5.5963 alpha=30.07 beta=30.07 gamma=30.07
Positions (direct):
N 0.9159 0.9159 0.9159
Tc 0.5000 0.5000 0.5000
B 0.0000 0.0000 0.0000
N 0.0841 0.0841 0.0841